No. 1
## LiCrP (PBE)

Data for an optimized crystal structure of LiCrP.

Results
The energy relative to the elements is -0.368 eV per atom. The uncorrected energy is -72.202 eV/cell.

Lattice parameters (Å, degrees): 7.875 3.080 6.671 90.00 99.71 90.00
Space group C2/m (No. 12)
Symmetry-distinct sites (fractional):
Li1 0.156 0.000 0.111 (multiplicity 4)
Cr1 0.133 0.500 0.447 (multiplicity 4)
P1 0.104 0.000 0.712 (multiplicity 4)



No. 2
## Rb3Pu2NpO9 (PBE)

Data for an optimized crystal structure of Rb3Pu2NpO9.

Results
The uncorrected energy is -128.058 eV/cell. The value obtained for the raw formation energy is -2595 meV per atom.

Lattice parameters (Å, degrees): 6.1174 6.1174 7.4902 90.00 90.00 120.00
Space group P-3m1 (No. 164)
Symmetry-distinct sites (fractional):
Rb1 0.0000 0.0000 0.0000 (multiplicity 1)
Rb2 0.3333 0.6667 0.6664 (multiplicity 2)
Pu1 0.3333 0.6667 0.1650 (multiplicity 2)
Np1 0.0000 0.0000 0.5000 (multiplicity 1)
O1 0.0000 0.5000 0.0000 (multiplicity 3)
O2 0.1629 0.3259 0.3370 (multiplicity 6)



No. 3
## TiNb5Re4 (PBE)

Data for an optimized crystal structure of TiNb5Re4.

Results
The energy relative to the elements is -0.249 eV per atom. The uncorrected energy is -110.523 eV/cell.

Lattice parameters (Å, degrees): 3.203 3.203 16.224 90.00 90.00 90.00
Space group P4/mmm (No. 123)
Symmetry-distinct sites (fractional):
Ti1 0.000 0.000 0.000 (multiplicity 1)
Nb1 0.500 0.500 0.106 (multiplicity 2)
Nb2 0.500 0.500 0.302 (multiplicity 2)
Nb3 0.500 0.500 0.500 (multiplicity 1)
Re1 0.000 0.000 0.203 (multiplicity 2)
Re2 0.000 0.000 0.401 (multiplicity 2)



No. 4
## NaMnTeI2 (PBE)

Data for an optimized crystal structure of NaMnTeI2.

Results
The uncorrected energy is -18.477 eV/cell. The value obtained for the raw formation energy is -349 meV per atom. As for the relative energy among the computed polymorphs: 0.000 eV/atom.

Lattice parameters (Å, degrees): 5.754 5.754 5.321 90.00 90.00 90.00
Space group P4/mmm (No. 123)
Symmetry-distinct sites (fractional):
Na1 0.000 0.000 0.000 (multiplicity 1)
Mn1 0.500 0.500 0.500 (multiplicity 1)
Te1 0.500 0.500 0.000 (multiplicity 1)
I1 0.000 0.500 0.500 (multiplicity 2)



No. 5
## Cu2HgBr (PBE)

Data for an optimized crystal structure of Cu2HgBr.

Results
The uncorrected energy is -9.884 eV/cell. The value obtained for the raw formation energy is 71 meV per atom. As for the relative energy among the computed polymorphs: 0.073 eV/atom.

Lattice parameters (Å, degrees): 3.410 3.804 6.315 90.00 90.00 90.00
Space group Pmmm (No. 47)
Symmetry-distinct sites (fractional):
Cu1 0.000 0.000 0.188 (multiplicity 2)
Hg1 0.500 0.500 0.000 (multiplicity 1)
Br1 0.500 0.000 0.500 (multiplicity 1)